[1]
Below is a geometry-optimized La2NdHgN structure, with properties calculated at the PBE level.

Output
**Symmetry**: P4/mmm, No. 123
**Calculated density**: 8053 kg/m3
**Formation energy without anion corrections**: -3.875 eV/f.u.

Lattice parameters (Å, degrees): 5.097 5.097 5.054 90.00 90.00 90.00
Fractional positions:
La (0.000, 0.500, 0.000)
La (0.500, 0.000, 0.000)
Nd (0.000, 0.000, 0.500)
Hg (0.500, 0.500, 0.500)
N (0.000, 0.000, 0.000)

[2]
Below is a geometry-optimized La2Nd4Hg3N2 structure, with properties calculated at the PBE level.

Output
**Symmetry**: I4/mmm, No. 139
**Calculated density**: 8039 kg/m3
**Formation energy without anion corrections**: -7.636 eV/f.u.

Lattice parameters (Å, degrees): 12.764 12.764 12.764 157.41 157.41 32.16
Fractional positions:
La (0.196, 0.196, 0.000)
La (0.804, 0.804, 0.000)
Nd (0.084, 0.584, 0.500)
Nd (0.416, 0.916, 0.500)
Nd (0.584, 0.084, 0.500)
Nd (0.916, 0.416, 0.500)
Hg (0.329, 0.329, 0.000)
Hg (0.500, 0.500, 0.000)
Hg (0.671, 0.671, 0.000)
N (0.105, 0.105, 0.000)
N (0.895, 0.895, 0.000)

[3]
Below is a geometry-optimized La2NiHgN structure, with properties calculated at the PBE level.

Output
**Energy relative to the lowest polymorph listed for this composition**: 0 meV per atom
**Symmetry**: P2_1/m, No. 11
**Calculated density**: 8156 kg/m3
**Formation energy without anion corrections**: -3.407 eV/f.u.

Lattice parameters (Å, degrees): 7.280 3.927 8.622 90.00 114.44 90.00
Fractional positions:
La (0.172, 0.250, 0.387)
La (0.223, 0.750, 0.016)
La (0.777, 0.250, 0.984)
La (0.828, 0.750, 0.613)
Ni (0.187, 0.250, 0.744)
Ni (0.813, 0.750, 0.256)
Hg (0.420, 0.750, 0.716)
Hg (0.580, 0.250, 0.284)
N (0.026, 0.750, 0.182)
N (0.974, 0.250, 0.818)

[4]
Below is a geometry-optimized La2NiHgN structure, with properties calculated at the PBE level.

Output
**Energy relative to the lowest polymorph listed for this composition**: 24 meV per atom
**Symmetry**: P4/mmm, No. 123
**Calculated density**: 8531 kg/m3
**Formation energy without anion corrections**: -3.288 eV/f.u.

Lattice parameters (Å, degrees): 5.333 5.333 3.771 90.00 90.00 90.00
Fractional positions:
La (0.000, 0.500, 0.000)
La (0.500, 0.000, 0.000)
Ni (0.000, 0.000, 0.500)
Hg (0.500, 0.500, 0.500)
N (0.000, 0.000, 0.000)

[5]
Below is a geometry-optimized La6Hg2NO structure, with properties calculated at the PBE level.

Output
**Symmetry**: Fm-3m, No. 225
**Calculated density**: 7978 kg/m3
**Formation energy without anion corrections**: -10.937 eV/f.u.

Lattice parameters (Å, degrees): 7.194 7.194 7.194 60.00 60.00 60.00
Fractional positions:
La (0.248, 0.248, 0.752)
La (0.248, 0.752, 0.248)
La (0.248, 0.752, 0.752)
La (0.752, 0.248, 0.248)
La (0.752, 0.248, 0.752)
La (0.752, 0.752, 0.248)
Hg (0.250, 0.250, 0.250)
Hg (0.750, 0.750, 0.750)
N (0.000, 0.000, 0.000)
O (0.500, 0.500, 0.500)

[6]
Below is a geometry-optimized La4HgPb2N2 structure, with properties calculated at the PBE level.

Output
**Symmetry**: C2/m, No. 12
**Calculated density**: 7545 kg/m3
**Formation energy without anion corrections**: -7.614 eV/f.u.

Lattice parameters (Å, degrees): 8.998 8.998 8.339 111.45 111.45 24.92
Fractional positions:
La (0.056, 0.056, 0.247)
La (0.286, 0.286, 0.353)
La (0.714, 0.714, 0.647)
La (0.944, 0.944, 0.753)
Hg (0.500, 0.500, 0.500)
Pb (0.367, 0.367, 0.013)
Pb (0.633, 0.633, 0.987)
N (0.176, 0.176, 0.465)
N (0.824, 0.824, 0.535)

Repeat the second record exactly.
Below is a geometry-optimized La2Nd4Hg3N2 structure, with properties calculated at the PBE level.

Output
**Symmetry**: I4/mmm, No. 139
**Calculated density**: 8039 kg/m3
**Formation energy without anion corrections**: -7.636 eV/f.u.

Lattice parameters (Å, degrees): 12.764 12.764 12.764 157.41 157.41 32.16
Fractional positions:
La (0.196, 0.196, 0.000)
La (0.804, 0.804, 0.000)
Nd (0.084, 0.584, 0.500)
Nd (0.416, 0.916, 0.500)
Nd (0.584, 0.084, 0.500)
Nd (0.916, 0.416, 0.500)
Hg (0.329, 0.329, 0.000)
Hg (0.500, 0.500, 0.000)
Hg (0.671, 0.671, 0.000)
N (0.105, 0.105, 0.000)
N (0.895, 0.895, 0.000)